{
  "formula": "Ba3LiPd2",
  "functional": "PBE",
  "state": "optimized geometry",
  "spacegroup": "P2_1/c",
  "e_form_ev_per_atom": -0.3569,
  "n_ef_per_ev_cell": 14.053,
  "lattice_angstrom": [[-6.207, -1.986, 4.179], [1.945, -11.126, -2.400], [9.000, 0.367, 5.593]],
  "species": ["Ba", "Ba", "Ba", "Ba", "Ba", "Ba", "Ba", "Ba", "Ba", "Ba", "Ba", "Ba", "Li", "Li", "Li", "Li", "Pd", "Pd", "Pd", "Pd", "Pd", "Pd", "Pd", "Pd"],
  "fractional_positions": [[0.268, 0.939, 0.022], [0.232, 0.439, 0.478], [0.732, 0.061, 0.978], [0.768, 0.561, 0.522], [0.330, 0.535, 0.114], [0.170, 0.035, 0.386], [0.670, 0.465, 0.886], [0.830, 0.965, 0.614], [0.895, 0.731, 0.192], [0.605, 0.231, 0.308], [0.105, 0.269, 0.808], [0.395, 0.769, 0.692], [0.539, 0.816, 0.326], [0.961, 0.316, 0.174], [0.461, 0.184, 0.674], [0.039, 0.684, 0.826], [0.729, 0.972, 0.270], [0.771, 0.472, 0.230], [0.271, 0.028, 0.730], [0.229, 0.528, 0.770], [0.338, 0.682, 0.385], [0.162, 0.182, 0.115], [0.662, 0.318, 0.615], [0.838, 0.818, 0.885]]
}

---

{
  "formula": "MgCu2Br",
  "functional": "PBE",
  "state": "optimized geometry",
  "spacegroup": "Fm-3m",
  "n_ef_per_ev_cell": 4.607,
  "e_form_raw_kj_per_mol_atoms": 46.78,
  "e_above_lowest_polymorph_mev_per_atom": 625,
  "lattice_angstrom": [[1.741, -4.308, 0.670], [-2.643, -3.769, -0.920], [1.003, -2.726, -3.688]],
  "species": ["Mg", "Cu", "Cu", "Br"],
  "fractional_positions": [[0.000, 0.000, 0.000], [0.250, 0.250, 0.250], [0.750, 0.750, 0.750], [0.500, 0.500, 0.500]]
}

---

{
  "formula": "AcLa9Th4",
  "functional": "PBE",
  "state": "optimized geometry",
  "spacegroup": "P6_3/mmc",
  "e_form_ev_per_atom": 0.1325,
  "n_ef_per_ev_cell": 45.040,
  "lattice_angstrom": [[11.253, 0.000, 0.000], [0.000, 8.939, -5.161], [0.000, 0.000, 10.322]],
  "species": ["Ac", "Ac", "La", "La", "La", "La", "La", "La", "La", "La", "La", "La", "La", "La", "La", "La", "La", "La", "La", "La", "Th", "Th", "Th", "Th", "Th", "Th", "Th", "Th"],
  "fractional_positions": [[0.250, 0.667, 0.333], [0.750, 0.333, 0.667], [0.039, 0.805, 0.610], [0.039, 0.805, 0.195], [0.039, 0.390, 0.195], [0.961, 0.195, 0.390], [0.961, 0.195, 0.805], [0.961, 0.610, 0.805], [0.539, 0.195, 0.390], [0.539, 0.195, 0.805], [0.539, 0.610, 0.805], [0.461, 0.805, 0.610], [0.461, 0.805, 0.195], [0.461, 0.390, 0.195], [0.250, 0.456, 0.913], [0.250, 0.456, 0.544], [0.250, 0.087, 0.544], [0.750, 0.544, 0.087], [0.750, 0.544, 0.456], [0.750, 0.913, 0.456], [0.250, 0.110, 0.220], [0.250, 0.110, 0.890], [0.250, 0.780, 0.890], [0.750, 0.890, 0.780], [0.750, 0.890, 0.110], [0.750, 0.220, 0.110], [0.000, 0.000, 0.000], [0.500, 0.000, 0.000]]
}

---

{
  "formula": "TbHoS3",
  "functional": "PBE",
  "state": "optimized geometry",
  "spacegroup": "C2/m",
  "n_ef_per_ev_cell": 0.000,
  "e_form_raw_kj_per_mol_atoms": -195.13,
  "e_above_lowest_polymorph_mev_per_atom": 23,
  "lattice_angstrom": [[3.980, 0.000, 1.016], [1.157, 7.711, 3.769], [0.036, 0.709, 8.163]],
  "species": ["Tb", "Tb", "Ho", "Ho", "S", "S", "S", "S", "S", "S"],
  "fractional_positions": [[0.371, 0.790, 0.468], [0.629, 0.210, 0.532], [0.148, 0.739, 0.965], [0.852, 0.261, 0.035], [0.045, 0.136, 0.774], [0.955, 0.864, 0.226], [0.644, 0.527, 0.186], [0.356, 0.473, 0.814], [0.734, 0.843, 0.688], [0.266, 0.157, 0.312]]
}

---

{
  "formula": "ZrSi2Tc",
  "functional": "PBE",
  "state": "optimized geometry",
  "spacegroup": "P4mm",
  "n_ef_per_ev_cell": 1.681,
  "e_form_raw_kj_per_mol_atoms": -49.04,
  "e_above_lowest_polymorph_mev_per_atom": 19,
  "lattice_angstrom": [[-1.016, -2.943, -0.810], [2.989, -1.133, 0.366], [-1.156, -1.188, 5.768]],
  "species": ["Si", "Si", "Tc", "Zr"],
  "fractional_positions": [[0.000, 0.000, 0.032], [0.500, 0.500, 0.263], [0.000, 0.000, 0.447], [0.500, 0.500, 0.757]]
}

---

{
  "formula": "K2TlW",
  "functional": "PBE",
  "state": "optimized geometry",
  "spacegroup": "R-3m",
  "e_form_ev_per_atom": 1.1536,
  "n_ef_per_ev_cell": 4.675,
  "e_above_lowest_polymorph_mev_per_atom": 174,
  "lattice_angstrom": [[-9.542, 7.593, 3.424], [-11.283, 5.055, 2.753], [-10.002, 5.375, 5.613]],
  "species": ["K", "K", "Tl", "W"],
  "fractional_positions": [[0.997, 0.997, 0.997], [0.503, 0.503, 0.503], [0.750, 0.750, 0.750], [0.250, 0.250, 0.250]]
}

---

{
  "formula": "KHgTe",
  "functional": "PBE",
  "state": "optimized geometry",
  "spacegroup": "F-43m",
  "n_ef_per_ev_cell": 1.426,
  "e_form_raw_kj_per_mol_atoms": -42.82,
  "e_above_lowest_polymorph_mev_per_atom": 25,
  "lattice_angstrom": [[5.517, 0.000, 0.000], [2.759, 4.778, 0.000], [2.759, 1.593, 4.505]],
  "species": ["Hg", "K", "Te"],
  "fractional_positions": [[0.000, 0.000, 0.000], [0.500, 0.500, 0.500], [0.750, 0.750, 0.750]]
}

---

{
  "formula": "NaLiPb2",
  "functional": "PBE",
  "state": "optimized geometry",
  "spacegroup": "Fm-3m",
  "e_form_ev_per_atom": -0.1744,
  "n_ef_per_ev_cell": 0.136,
  "e_above_lowest_polymorph_mev_per_atom": 36,
  "lattice_angstrom": [[0.000, 3.703, 3.703], [3.703, 0.000, 3.703], [3.703, 3.703, 0.000]],
  "species": ["Pb", "Pb", "Na", "Li"],
  "fractional_positions": [[0.250, 0.250, 0.250], [0.750, 0.750, 0.750], [0.500, 0.500, 0.500], [0.000, 0.000, 0.000]]
}

---

{
  "formula": "Sc12TlCu6",
  "functional": "PBE",
  "state": "optimized geometry",
  "spacegroup": "Im-3",
  "e_form_ev_per_atom": -0.1990,
  "n_ef_per_ev_cell": 6.866,
  "lattice_angstrom": [[7.500, 0.000, -2.652], [-3.750, 6.495, -2.652], [0.000, 0.000, 7.955]],
  "species": ["Sc", "Sc", "Sc", "Sc", "Sc", "Sc", "Sc", "Sc", "Sc", "Sc", "Sc", "Sc", "Tl", "Cu", "Cu", "Cu", "Cu", "Cu", "Cu"],
  "fractional_positions": [[0.292, 0.102, 0.810], [0.292, 0.482, 0.190], [0.708, 0.518, 0.810], [0.708, 0.898, 0.190], [0.102, 0.810, 0.292], [0.482, 0.190, 0.292], [0.518, 0.810, 0.708], [0.898, 0.190, 0.708], [0.810, 0.292, 0.102], [0.190, 0.292, 0.482], [0.810, 0.708, 0.518], [0.190, 0.708, 0.898], [0.000, 0.000, 0.000], [0.370, 0.500, 0.870], [0.630, 0.500, 0.130], [0.500, 0.870, 0.370], [0.500, 0.130, 0.630], [0.870, 0.370, 0.500], [0.130, 0.630, 0.500]]
}

---

{
  "formula": "LaTb12Dy6",
  "functional": "PBE",
  "state": "optimized geometry",
  "spacegroup": "R-3",
  "e_form_ev_per_atom": 0.1510,
  "n_ef_per_ev_cell": 32.934,
  "e_above_lowest_polymorph_mev_per_atom": 0,
  "lattice_angstrom": [[8.480, 0.709, 0.849], [-0.585, 8.490, 0.849], [-0.585, -0.681, 8.505]],
  "species": ["La", "Tb", "Tb", "Tb", "Tb", "Tb", "Tb", "Tb", "Tb", "Tb", "Tb", "Tb", "Tb", "Dy", "Dy", "Dy", "Dy", "Dy", "Dy"],
  "fractional_positions": [[0.000, 0.000, 0.000], [0.774, 0.543, 0.435], [0.435, 0.774, 0.543], [0.543, 0.435, 0.774], [0.226, 0.457, 0.565], [0.565, 0.226, 0.457], [0.457, 0.565, 0.226], [0.011, 0.207, 0.357], [0.793, 0.643, 0.989], [0.643, 0.989, 0.793], [0.989, 0.793, 0.643], [0.207, 0.357, 0.011], [0.357, 0.011, 0.207], [0.742, 0.906, 0.311], [0.689, 0.258, 0.094], [0.094, 0.689, 0.258], [0.258, 0.094, 0.689], [0.311, 0.742, 0.906], [0.906, 0.311, 0.742]]
}

---

{
  "formula": "MoRuPt",
  "functional": "PBE",
  "state": "optimized geometry",
  "spacegroup": "P3m1",
  "e_form_ev_per_atom": -0.0617,
  "n_ef_per_ev_cell": 2.502,
  "e_above_lowest_polymorph_mev_per_atom": 117,
  "lattice_angstrom": [[-2.747, -0.370, 0.058], [1.653, -1.649, 1.495], [-0.469, 4.298, 5.260]],
  "species": ["Mo", "Pt", "Ru"],
  "fractional_positions": [[0.000, 0.000, 0.991], [0.667, 0.333, 0.331], [0.333, 0.667, 0.678]]
}

---

{
  "formula": "AcBe2SiN",
  "functional": "PBE",
  "state": "optimized geometry",
  "spacegroup": "Cmcm",
  "n_ef_per_ev_cell": 0.561,
  "e_form_raw_kj_per_mol_atoms": -59.29,
  "lattice_angstrom": [[3.987, 0.000, 0.000], [-1.993, 5.585, 0.000], [0.000, 0.000, 6.815]],
  "species": ["Ac", "Ac", "Be", "Be", "Be", "Be", "Si", "Si", "N", "N"],
  "fractional_positions": [[0.428, 0.855, 0.750], [0.572, 0.145, 0.250], [0.135, 0.269, 0.916], [0.865, 0.731, 0.084], [0.135, 0.269, 0.584], [0.865, 0.731, 0.416], [0.710, 0.421, 0.750], [0.290, 0.579, 0.250], [0.000, 0.000, 0.000], [0.000, 0.000, 0.500]]
}

---

Number 1: theoretical density 4.84 g cm⁻³. Number 2: theoretical density 5.25 g cm⁻³. Number 3: theoretical density 7.69 g cm⁻³. Number 4: theoretical density 5.80 g cm⁻³. Number 5: theoretical density 6.56 g cm⁻³. Number 6: theoretical density 7.19 g cm⁻³. Number 7: theoretical density 5.14 g cm⁻³. Number 8: theoretical density 7.27 g cm⁻³. Number 9: theoretical density 4.82 g cm⁻³. Number 10: theoretical density 8.03 g cm⁻³. Number 11: theoretical density 14.37 g cm⁻³. Number 12: theoretical density 6.28 g cm⁻³.